(1)
Crystalline TeP2Cl at its relaxed geometry, computed with GGA-PBEsol.

Computed properties:
Total moment   0.00 μB/atom
ΔE_f (raw)   0.52 eV/atom
Uncorrected energy   -3.7598 eV/atom

abc: 5.5287 5.5287 5.4650
angles: 90.00 90.00 90.00
Space group I4/mmm (No. 139)
Symmetry-distinct sites (fractional):
Te1 0.0000 0.0000 0.0000 [2 per cell]
P1 0.0000 0.5000 0.0000 [4 per cell]
Cl1 0.0000 0.0000 0.5000 [2 per cell]

(2)
Crystalline Mg2InCu at its relaxed geometry, computed with GGA-PBEsol.

Computed properties:
Total moment   0.00 μB/atom
ΔH_f (0 K)   -0.02 eV/atom
Uncorrected energy   -2.7113 eV/atom

abc: 4.1840 4.1840 8.3737
angles: 90.00 90.00 90.00
Space group I4/mmm (No. 139)
Symmetry-distinct sites (fractional):
Mg1 0.0000 0.5000 0.2500 [4 per cell]
In1 0.0000 0.0000 0.0000 [2 per cell]
Cu1 0.0000 0.0000 0.5000 [2 per cell]

(3)
Crystalline MnCr2W at its relaxed geometry, computed with GGA-PBEsol.

Computed properties:
Total moment   0.16 μB/atom
ΔH_f (0 K)   0.13 eV/atom
Uncorrected energy   -10.8788 eV/atom

abc: 5.8188 5.8188 5.8188
angles: 90.00 90.00 90.00
Space group Fm-3m (No. 225)
Symmetry-distinct sites (fractional):
Mn1 0.0000 0.0000 0.0000 [4 per cell]
Cr1 0.2500 0.2500 0.2500 [8 per cell]
W1 0.0000 0.0000 0.5000 [4 per cell]

(4)
Crystalline Be2Sb2Pb at its relaxed geometry, computed with GGA-PBEsol.

Computed properties:
Total moment   0.00 μB/atom
ΔE_f (raw)   0.22 eV/atom
Uncorrected energy   -4.0049 eV/atom

abc: 3.8229 3.8229 14.7164
angles: 90.00 90.00 90.00
Space group I4/mmm (No. 139)
Symmetry-distinct sites (fractional):
Be1 0.0000 0.5000 0.2500 [4 per cell]
Sb1 0.0000 0.0000 0.1397 [4 per cell]
Pb1 0.0000 0.0000 0.5000 [2 per cell]

(5)
Crystalline CaCuAg2 at its relaxed geometry, computed with GGA-PBEsol.

Computed properties:
Total moment   0.00 μB/atom
ΔH_f (0 K)   -0.04 eV/atom
Uncorrected energy   -3.3081 eV/atom

abc: 3.4563 3.4563 6.2412
angles: 90.00 90.00 90.00
Space group P4mm (No. 99)
Symmetry-distinct sites (fractional):
Ca1 0.0000 0.0000 0.0000 [1 per cell]
Cu1 0.5000 0.5000 0.2853 [1 per cell]
Ag1 0.0000 0.0000 0.4739 [1 per cell]
Ag2 0.5000 0.5000 0.7037 [1 per cell]

(6)
Crystalline Hf2TlPt2 at its relaxed geometry, computed with GGA-PBEsol.

Computed properties:
Total moment   0.00 μB/atom
ΔH_f (0 K)   -0.59 eV/atom
Uncorrected energy   -8.1009 eV/atom

abc: 4.5422 4.5422 10.4080
angles: 90.00 90.00 90.00
Space group I4/mmm (No. 139)
Symmetry-distinct sites (fractional):
Hf1 0.0000 0.5000 0.2500 [4 per cell]
Tl1 0.0000 0.0000 0.0000 [2 per cell]
Pt1 0.0000 0.0000 0.3770 [4 per cell]

(7)
Crystalline Be2HgRh at its relaxed geometry, computed with GGA-PBEsol.

Computed properties:
Total moment   0.00 μB/atom
ΔH_f (0 K)   -0.10 eV/atom
Uncorrected energy   -4.2737 eV/atom

abc: 3.7390 2.8563 9.1608
angles: 90.00 90.00 90.00
Space group Amm2 (No. 38)
Symmetry-distinct sites (fractional):
Be1 0.0000 0.0000 0.0000 [2 per cell]
Be2 0.5000 0.0000 0.1365 [2 per cell]
Hg1 0.5000 0.0000 0.3982 [2 per cell]
Rh1 0.0000 0.0000 0.7022 [2 per cell]

(8)
Crystalline ScCo at its relaxed geometry, computed with GGA-PBEsol.

Computed properties:
Total moment   0.00 μB/atom
ΔH_f (0 K)   0.60 eV/atom
Uncorrected energy   -6.5746 eV/atom

abc: 4.2002 4.2002 5.0239
angles: 90.00 90.00 120.00
Space group P6_3/mmc (No. 194)
Symmetry-distinct sites (fractional):
Sc1 0.3333 0.6667 0.2500 [2 per cell]
Co1 0.3333 0.6667 0.7500 [2 per cell]

Number 1: Fermi-level density of states 0.763 states/eV/atom. Number 2: Fermi-level density of states 0.341 states/eV/atom. Number 3: Fermi-level density of states 1.034 states/eV/atom. Number 4: Fermi-level density of states 0.385 states/eV/atom. Number 5: Fermi-level density of states 0.385 states/eV/atom. Number 6: Fermi-level density of states 0.513 states/eV/atom. Number 7: Fermi-level density of states 0.258 states/eV/atom. Number 8: Fermi-level density of states 0.952 states/eV/atom.